Record 1
First-principles (PBE-GGA) data for a relaxed structure of RbTl2Pb4, as listed in the Alexandria database.

Geometry as CIF:
```
data_RbTl2Pb4
_chemical_formula_sum 'Rb2 Tl4 Pb8'
_space_group_name_H-M_alt 'C m m m'
_space_group_IT_number 65
_space_group_name_Hall '-C 2 2'
_cell_length_a 5.345
_cell_length_b 17.772
_cell_length_c 5.431
_cell_angle_alpha 90.00
_cell_angle_beta 90.00
_cell_angle_gamma 90.00
loop_
_atom_site_label
_atom_site_fract_x
_atom_site_fract_y
_atom_site_fract_z
Rb1 0.000 0.000 0.000
Tl1 0.000 0.412 0.500
Pb1 0.000 0.193 0.500
Pb2 0.000 0.308 0.000
```

Properties
**Energy relative to the elements**: -0.021 eV per atom

***

Record 2
First-principles (PBE-GGA) data for a relaxed structure of Ti7ZnIn3, as listed in the Alexandria database.

Geometry as CIF:
```
data_Ti7ZnIn3
_chemical_formula_sum 'Ti28 Zn4 In12'
_space_group_name_H-M_alt 'C m c m'
_space_group_IT_number 63
_space_group_name_Hall '-C 2c 2'
_cell_length_a 2.878
_cell_length_b 20.913
_cell_length_c 14.248
_cell_angle_alpha 90.00
_cell_angle_beta 90.00
_cell_angle_gamma 90.00
loop_
_atom_site_label
_atom_site_fract_x
_atom_site_fract_y
_atom_site_fract_z
Ti1 0.000 0.028 0.091
Ti2 0.000 0.046 0.750
Ti3 0.000 0.159 0.092
Ti4 0.000 0.223 0.572
Zn1 0.000 0.424 0.750
In1 0.000 0.286 0.750
In2 0.000 0.404 0.074
```

Properties
**Energy relative to the elements**: 0.057 eV per atom

***

Record 3
First-principles (PBE-GGA) data for a relaxed structure of VFeReRu, as listed in the Alexandria database.

Geometry as CIF:
```
data_VFeReRu
_chemical_formula_sum 'V4 Fe4 Re4 Ru4'
_space_group_name_H-M_alt 'F -4 3 m'
_space_group_IT_number 216
_space_group_name_Hall 'F -4 2 3'
_cell_length_a 6.008
_cell_length_b 6.008
_cell_length_c 6.008
_cell_angle_alpha 90.00
_cell_angle_beta 90.00
_cell_angle_gamma 90.00
loop_
_atom_site_label
_atom_site_fract_x
_atom_site_fract_y
_atom_site_fract_z
V1 0.000 0.000 0.000
Fe1 0.000 0.000 0.500
Re1 0.250 0.250 0.750
Ru1 0.250 0.250 0.250
```

Properties
**Energy relative to the elements**: -0.052 eV per atom

***

Record 4
First-principles (PBE-GGA) data for a relaxed structure of Np2AgTe5, as listed in the Alexandria database.

Geometry as CIF:
```
data_Np2AgTe5
_chemical_formula_sum 'Np4 Ag2 Te10'
_space_group_name_H-M_alt 'P b a m'
_space_group_IT_number 55
_cell_length_a 8.385
_cell_length_b 13.381
_cell_length_c 4.166
_cell_angle_alpha 90.00
_cell_angle_beta 90.00
_cell_angle_gamma 90.00
loop_
_space_group_symop_operation_xyz
'x,y,z'
'-x,-y,-z'
'-x,-y,z'
'x,y,-z'
'x+1/2,-y+1/2,-z'
'-x+1/2,y+1/2,z'
'-x+1/2,y+1/2,-z'
'x+1/2,-y+1/2,z'
loop_
_atom_site_label
_atom_site_fract_x
_atom_site_fract_y
_atom_site_fract_z
Np1 0.004 0.175 0.000
Ag1 0.000 0.500 0.500
Te1 0.000 0.000 0.500
Te2 0.140 0.397 0.000
Te3 0.212 0.711 0.500
```

Properties
**Formation energy from raw total energies**: -42.2 kJ/mol of atoms

***

Record 5
First-principles (PBE-GGA) data for a relaxed structure of LaCd2In, as listed in the Alexandria database.

Geometry as CIF:
```
data_LaCd2In
_chemical_formula_sum 'La1 Cd2 In1'
_space_group_name_H-M_alt 'P m m m'
_space_group_IT_number 47
_cell_length_a 3.392
_cell_length_b 5.115
_cell_length_c 6.281
_cell_angle_alpha 90.00
_cell_angle_beta 90.00
_cell_angle_gamma 90.00
loop_
_space_group_symop_operation_xyz
'x,y,z'
'-x,-y,-z'
'-x,-y,z'
'x,y,-z'
'x,-y,-z'
'-x,y,z'
'-x,y,-z'
'x,-y,z'
loop_
_atom_site_label
_atom_site_fract_x
_atom_site_fract_y
_atom_site_fract_z
La1 0.000 0.000 0.000
Cd1 0.500 0.500 0.247
In1 0.500 0.000 0.500
```

Properties
**Energy relative to the elements**: -0.265 eV per atom

***

Record 6
First-principles (PBE-GGA) data for a relaxed structure of LiSbH3, as listed in the Alexandria database.

Geometry as CIF:
```
data_LiSbH3
_chemical_formula_sum 'Li2 Sb2 H6'
_space_group_name_H-M_alt 'C 1 m 1'
_space_group_IT_number 8
_cell_length_a 8.506
_cell_length_b 3.133
_cell_length_c 6.254
_cell_angle_alpha 90.00
_cell_angle_beta 127.56
_cell_angle_gamma 90.00
loop_
_space_group_symop_operation_xyz
'x,y,z'
'x,-y,z'
'x+1/2,y+1/2,z'
'x+1/2,-y+1/2,z'
loop_
_atom_site_label
_atom_site_fract_x
_atom_site_fract_y
_atom_site_fract_z
Li1 0.000 0.000 0.000
Sb1 0.467 0.000 0.475
H1 0.037 0.500 0.844
H2 0.223 0.500 0.653
H3 0.483 0.000 0.166
```

Properties
**Total DFT energy (no corrections)**: -3.1184 eV per atom

***

Record 7
First-principles (PBE-GGA) data for a relaxed structure of PmNd4Co4, as listed in the Alexandria database.

Geometry as CIF:
```
data_PmNd4Co4
_chemical_formula_sum 'Pm2 Nd8 Co8'
_space_group_name_H-M_alt 'P 42/n'
_space_group_IT_number 86
_cell_length_a 8.599
_cell_length_b 8.599
_cell_length_c 5.803
_cell_angle_alpha 90.00
_cell_angle_beta 90.00
_cell_angle_gamma 90.00
loop_
_space_group_symop_operation_xyz
'x,y,z'
'-x,-y,-z'
'-y,x+1/2,z+1/2'
'y,-x+1/2,-z+1/2'
'-x+1/2,-y+1/2,z'
'x+1/2,y+1/2,-z'
'y+1/2,-x,z+1/2'
'-y+1/2,x,-z+1/2'
loop_
_atom_site_label
_atom_site_fract_x
_atom_site_fract_y
_atom_site_fract_z
Pm1 0.250 0.250 0.250
Nd1 0.057 0.676 0.131
Co1 0.013 0.612 0.607
```

Properties
**Energy relative to the elements**: 0.039 eV per atom

***

Record 8
First-principles (PBE-GGA) data for a relaxed structure of Ga2CuTeS6, as listed in the Alexandria database.

Geometry as CIF:
```
data_Ga2CuTeS6
_chemical_formula_sum 'Ga8 Cu4 Te4 S24'
_space_group_name_H-M_alt 'C 1 2/c 1'
_space_group_IT_number 15
_cell_length_a 12.501
_cell_length_b 11.057
_cell_length_c 6.615
_cell_angle_alpha 90.00
_cell_angle_beta 106.29
_cell_angle_gamma 90.00
loop_
_space_group_symop_operation_xyz
'x,y,z'
'-x,-y,-z'
'-x,y,-z+1/2'
'x,-y,z+1/2'
'x+1/2,y+1/2,z'
'-x+1/2,-y+1/2,-z'
'-x+1/2,y+1/2,-z+1/2'
'x+1/2,-y+1/2,z+1/2'
loop_
_atom_site_label
_atom_site_fract_x
_atom_site_fract_y
_atom_site_fract_z
Ga1 0.209 0.098 0.260
Cu1 0.000 0.331 0.250
Te1 0.000 0.229 0.750
S1 0.096 0.386 0.593
S2 0.139 0.059 0.537
S3 0.145 0.283 0.114
```

Properties
**Formation energy from raw total energies**: -24.9 kJ/mol of atoms

***

Record 9
First-principles (PBE-GGA) data for a relaxed structure of La9YSn2, as listed in the Alexandria database.

Geometry as CIF:
```
data_La9YSn2
_chemical_formula_sum 'La9 Y1 Sn2'
_space_group_name_H-M_alt 'P 4/m m m'
_space_group_IT_number 123
_space_group_name_Hall '-P 4 2'
_cell_length_a 5.072
_cell_length_b 5.072
_cell_length_c 15.510
_cell_angle_alpha 90.00
_cell_angle_beta 90.00
_cell_angle_gamma 90.00
loop_
_atom_site_label
_atom_site_fract_x
_atom_site_fract_y
_atom_site_fract_z
La1 0.000 0.000 0.000
La2 0.000 0.000 0.338
La3 0.000 0.500 0.175
La4 0.000 0.500 0.500
Y1 0.500 0.500 0.000
Sn1 0.500 0.500 0.338
```

Properties
**Energy relative to the elements**: -0.302 eV per atom

***

Record 10
First-principles (PBE-GGA) data for a relaxed structure of TbCe2ThSe5, as listed in the Alexandria database.

Geometry as CIF:
```
data_TbCe2ThSe5
_chemical_formula_sum 'Tb1 Ce2 Th1 Se5'
_space_group_name_H-M_alt 'P 4/m m m'
_space_group_IT_number 123
_space_group_name_Hall '-P 4 2'
_cell_length_a 5.143
_cell_length_b 5.143
_cell_length_c 10.961
_cell_angle_alpha 90.00
_cell_angle_beta 90.00
_cell_angle_gamma 90.00
loop_
_atom_site_label
_atom_site_fract_x
_atom_site_fract_y
_atom_site_fract_z
Tb1 0.000 0.000 0.000
Ce1 0.500 0.500 0.189
Th1 0.000 0.000 0.500
Se1 0.000 0.000 0.252
Se2 0.000 0.500 0.000
Se3 0.500 0.500 0.500
```

Properties
**Formation energy from raw total energies**: -112.3 kJ/mol of atoms

***

Record 11
First-principles (PBE-GGA) data for a relaxed structure of Nd4Sm2Dy3, as listed in the Alexandria database.

Geometry as CIF:
```
data_Nd4Sm2Dy3
_chemical_formula_sum 'Nd16 Sm8 Dy12'
_space_group_name_H-M_alt 'C 1 2/c 1'
_space_group_IT_number 15
_cell_length_a 16.483
_cell_length_b 11.814
_cell_length_c 6.235
_cell_angle_alpha 90.00
_cell_angle_beta 96.24
_cell_angle_gamma 90.00
loop_
_space_group_symop_operation_xyz
'x,y,z'
'-x,-y,-z'
'-x,y,-z+1/2'
'x,-y,z+1/2'
'x+1/2,y+1/2,z'
'-x+1/2,-y+1/2,-z'
'-x+1/2,y+1/2,-z+1/2'
'x+1/2,-y+1/2,z+1/2'
loop_
_atom_site_label
_atom_site_fract_x
_atom_site_fract_y
_atom_site_fract_z
Nd1 0.048 0.140 0.014
Nd2 0.214 0.359 0.847
Sm1 0.118 0.361 0.319
Dy1 0.000 0.400 0.750
Dy2 0.167 0.100 0.580
```

Properties
**Energy relative to the elements**: 0.084 eV per atom

***

Record 12
First-principles (PBE-GGA) data for a relaxed structure of CdBH3, as listed in the Alexandria database.

Geometry as CIF:
```
data_CdBH3
_chemical_formula_sum 'Cd1 B1 H3'
_space_group_name_H-M_alt 'P m -3 m'
_space_group_IT_number 221
_space_group_name_Hall '-P 4 2 3'
_cell_length_a 3.808
_cell_length_b 3.808
_cell_length_c 3.808
_cell_angle_alpha 90.00
_cell_angle_beta 90.00
_cell_angle_gamma 90.00
loop_
_atom_site_label
_atom_site_fract_x
_atom_site_fract_y
_atom_site_fract_z
Cd1 0.000 0.000 0.000
B1 0.500 0.500 0.500
H1 0.000 0.000 0.500
```

Properties
**Total DFT energy (no corrections)**: -2.1755 eV per atom

***

Record 13
First-principles (PBE-GGA) data for a relaxed structure of ReRh2Se, as listed in the Alexandria database.

Geometry as CIF:
```
data_ReRh2Se
_chemical_formula_sum 'Re2 Rh4 Se2'
_space_group_name_H-M_alt 'C m m m'
_space_group_IT_number 65
_space_group_name_Hall '-C 2 2'
_cell_length_a 5.455
_cell_length_b 7.821
_cell_length_c 2.820
_cell_angle_alpha 90.00
_cell_angle_beta 90.00
_cell_angle_gamma 90.00
loop_
_atom_site_label
_atom_site_fract_x
_atom_site_fract_y
_atom_site_fract_z
Re1 0.000 0.000 0.000
Rh1 0.250 0.250 0.500
Se1 0.000 0.500 0.000
```

Properties
**Formation energy from raw total energies**: 27.7 kJ/mol of atoms

***

Record 14
First-principles (PBE-GGA) data for a relaxed structure of LiMnCoSb2, as listed in the Alexandria database.

Geometry as CIF:
```
data_LiMnCoSb2
_chemical_formula_sum 'Li1 Mn1 Co1 Sb2'
_space_group_name_H-M_alt 'P 4/m m m'
_space_group_IT_number 123
_space_group_name_Hall '-P 4 2'
_cell_length_a 4.905
_cell_length_b 4.905
_cell_length_c 4.708
_cell_angle_alpha 90.00
_cell_angle_beta 90.00
_cell_angle_gamma 90.00
loop_
_atom_site_label
_atom_site_fract_x
_atom_site_fract_y
_atom_site_fract_z
Li1 0.000 0.000 0.000
Mn1 0.500 0.500 0.000
Co1 0.500 0.500 0.500
Sb1 0.000 0.500 0.500
```

Properties
**Formation energy from raw total energies**: 26.6 kJ/mol of atoms

***

Record 15
First-principles (PBE-GGA) data for a relaxed structure of LiCa2Au, as listed in the Alexandria database.

Geometry as CIF:
```
data_LiCa2Au
_chemical_formula_sum 'Li2 Ca4 Au2'
_space_group_name_H-M_alt 'C 1 2/m 1'
_space_group_IT_number 12
_cell_length_a 7.279
_cell_length_b 7.285
_cell_length_c 3.890
_cell_angle_alpha 90.00
_cell_angle_beta 90.33
_cell_angle_gamma 90.00
loop_
_space_group_symop_operation_xyz
'x,y,z'
'-x,-y,-z'
'-x,y,-z'
'x,-y,z'
'x+1/2,y+1/2,z'
'-x+1/2,-y+1/2,-z'
'-x+1/2,y+1/2,-z'
'x+1/2,-y+1/2,z'
loop_
_atom_site_label
_atom_site_fract_x
_atom_site_fract_y
_atom_site_fract_z
Li1 0.000 0.000 0.000
Ca1 0.250 0.250 0.500
Au1 0.000 0.500 0.000
```

Properties
**Energy relative to the elements**: -0.400 eV per atom

***

Record 16
First-principles (PBE-GGA) data for a relaxed structure of RbInGe, as listed in the Alexandria database.

Geometry as CIF:
```
data_RbInGe
_chemical_formula_sum 'Rb4 In4 Ge4'
_space_group_name_H-M_alt 'A e m 2'
_space_group_IT_number 39
_cell_length_a 4.619
_cell_length_b 12.693
_cell_length_c 8.055
_cell_angle_alpha 90.00
_cell_angle_beta 90.00
_cell_angle_gamma 90.00
loop_
_space_group_symop_operation_xyz
'x,y,z'
'-x,-y,z'
'-x,y+1/2,z'
'x,-y+1/2,z'
'x,y+1/2,z+1/2'
'-x,-y+1/2,z+1/2'
'-x,y,z+1/2'
'x,-y,z+1/2'
loop_
_atom_site_label
_atom_site_fract_x
_atom_site_fract_y
_atom_site_fract_z
Rb1 0.000 0.000 0.000
In1 0.281 0.250 0.331
Ge1 0.228 0.250 0.668
```

Properties
**Energy relative to the elements**: 0.005 eV per atom

***

Record 17
First-principles (PBE-GGA) data for a relaxed structure of HfMnNbOs, as listed in the Alexandria database.

Geometry as CIF:
```
data_HfMnNbOs
_chemical_formula_sum 'Hf1 Mn1 Nb1 Os1'
_space_group_name_H-M_alt 'P 4 m m'
_space_group_IT_number 99
_cell_length_a 3.163
_cell_length_b 3.163
_cell_length_c 6.370
_cell_angle_alpha 90.00
_cell_angle_beta 90.00
_cell_angle_gamma 90.00
loop_
_space_group_symop_operation_xyz
'x,y,z'
'-y,x,z'
'-x,-y,z'
'y,-x,z'
'-x,y,z'
'y,x,z'
'x,-y,z'
'-y,-x,z'
loop_
_atom_site_label
_atom_site_fract_x
_atom_site_fract_y
_atom_site_fract_z
Hf1 0.000 0.000 0.000
Mn1 0.500 0.500 0.748
Nb1 0.000 0.000 0.519
Os1 0.500 0.500 0.264
```

Properties
**Energy relative to the elements**: -0.338 eV per atom

***

Record 18
First-principles (PBE-GGA) data for a relaxed structure of AcSmErSn, as listed in the Alexandria database.

Geometry as CIF:
```
data_AcSmErSn
_chemical_formula_sum 'Ac4 Sm4 Er4 Sn4'
_space_group_name_H-M_alt 'F -4 3 m'
_space_group_IT_number 216
_space_group_name_Hall 'F -4 2 3'
_cell_length_a 7.885
_cell_length_b 7.885
_cell_length_c 7.885
_cell_angle_alpha 90.00
_cell_angle_beta 90.00
_cell_angle_gamma 90.00
loop_
_atom_site_label
_atom_site_fract_x
_atom_site_fract_y
_atom_site_fract_z
Ac1 0.000 0.000 0.000
Sm1 0.250 0.250 0.750
Er1 0.250 0.250 0.250
Sn1 0.000 0.000 0.500
```

Properties
**Energy relative to the elements**: -0.167 eV per atom

***

Record 19
First-principles (PBE-GGA) data for a relaxed structure of Th6As2P3Au, as listed in the Alexandria database.

Geometry as CIF:
```
data_Th6As2P3Au
_chemical_formula_sum 'Th12 As4 P6 Au2'
_space_group_name_H-M_alt 'C 1 2/m 1'
_space_group_IT_number 12
_cell_length_a 18.382
_cell_length_b 4.169
_cell_length_c 8.496
_cell_angle_alpha 90.00
_cell_angle_beta 103.67
_cell_angle_gamma 90.00
loop_
_space_group_symop_operation_xyz
'x,y,z'
'-x,-y,-z'
'-x,y,-z'
'x,-y,z'
'x+1/2,y+1/2,z'
'-x+1/2,-y+1/2,-z'
'-x+1/2,y+1/2,-z'
'x+1/2,-y+1/2,z'
loop_
_atom_site_label
_atom_site_fract_x
_atom_site_fract_y
_atom_site_fract_z
Th1 0.002 0.000 0.239
Th2 0.164 0.500 0.090
Th3 0.171 0.500 0.578
As1 0.167 0.000 0.834
P1 0.000 0.500 0.000
P2 0.167 0.000 0.334
Au1 0.000 0.500 0.500
```

Properties
**Energy relative to the elements**: -1.308 eV per atom

***

Record 20
First-principles (PBE-GGA) data for a relaxed structure of Hf7Fe2Pd2, as listed in the Alexandria database.

Geometry as CIF:
```
data_Hf7Fe2Pd2
_chemical_formula_sum 'Hf14 Fe4 Pd4'
_space_group_name_H-M_alt 'I m m 2'
_space_group_IT_number 44
_cell_length_a 3.314
_cell_length_b 14.231
_cell_length_c 8.891
_cell_angle_alpha 90.00
_cell_angle_beta 90.00
_cell_angle_gamma 90.00
loop_
_space_group_symop_operation_xyz
'x,y,z'
'-x,-y,z'
'-x,y,z'
'x,-y,z'
'x+1/2,y+1/2,z+1/2'
'-x+1/2,-y+1/2,z+1/2'
'-x+1/2,y+1/2,z+1/2'
'x+1/2,-y+1/2,z+1/2'
loop_
_atom_site_label
_atom_site_fract_x
_atom_site_fract_y
_atom_site_fract_z
Hf1 0.000 0.000 0.000
Hf2 0.000 0.135 0.601
Hf3 0.000 0.313 0.384
Hf4 0.000 0.371 0.744
Fe1 0.000 0.227 0.086
Pd1 0.000 0.000 0.385
Pd2 0.000 0.500 0.233
```

Properties
**Energy relative to the elements**: -0.304 eV per atom